1.
The following is a PBE calculation of a relaxed LaOsPt2 crystal, from Alexandria via LeMat-Bulk.

Its excess energy over the best structure of this formula in the dataset is 359 meV per atom. The value obtained for the total energy is -7.12 eV per atom. Its formation energy is -0.0622 eV/atom.

The structure belongs to space group Pmm2 (No. 25); the cell edges are 2.8965, 4.0384 and 6.5442 Å and the angles 90.00°, 90.00° and 90.00°. Symmetry generates all atoms from La at (0.0000, 0.0000, 0.0000), Os at (0.5000, 0.5000, 0.3150), Pt at (0.0000, 0.0000, 0.4714) and Pt at (0.5000, 0.5000, 0.7196).

***

2.
The following is a PBE calculation of a relaxed Ca2NdI6 crystal, from Alexandria via LeMat-Bulk.

The calculation puts the uncorrected formation energy at -142.5 kJ/mol of atoms. The value obtained for the total energy is -3.48 eV per atom.

The structure belongs to space group C2/m (No. 12); the cell edges are 17.2750, 4.3563 and 11.6830 Å and the angles 90.00°, 110.46° and 90.00°. Symmetry generates all atoms from Ca at (0.1672, 0.0000, 0.3316), Nd at (0.0000, 0.5000, 0.0000), I at (0.0277, 0.5000, 0.2856), I at (0.1460, 0.0000, 0.0522) and I at (0.1944, 0.0000, 0.6149).

***

3.
The following is a PBE calculation of a relaxed ScVGaTc2 crystal, from Alexandria via LeMat-Bulk.

The value obtained for the total energy is -7.27 eV per atom. Its formation energy is 0.5695 eV/atom.

The structure belongs to space group P4/mmm (No. 123); the cell edges are 4.4558, 4.4558 and 4.7073 Å and the angles 90.00°, 90.00° and 90.00°. Symmetry generates all atoms from Sc at (0.0000, 0.0000, 0.0000), V at (0.5000, 0.5000, 0.5000), Ga at (0.5000, 0.5000, 0.0000) and Tc at (0.0000, 0.5000, 0.5000).

***

4.
The following is a PBE calculation of a relaxed NaTb2AuO5 crystal, from Alexandria via LeMat-Bulk.

The calculation puts the uncorrected formation energy at -213.9 kJ/mol of atoms. The value obtained for the total energy is -6.51 eV per atom.

The structure belongs to space group P4/mbm (No. 127); the cell edges are 6.5739, 6.5739 and 5.9029 Å and the angles 90.00°, 90.00° and 90.00°. Symmetry generates all atoms from Na at (0.0000, 0.0000, 0.0000), Tb at (0.1772, 0.3229, 0.5000), Au at (0.0000, 0.5000, 0.0000), O at (0.0000, 0.0000, 0.5000) and O at (0.1375, 0.6375, 0.2601).

***

5.
The following is a PBE calculation of a relaxed Pm2AlWN5 crystal, from Alexandria via LeMat-Bulk.

The calculation puts the uncorrected formation energy at -97.9 kJ/mol of atoms. The value obtained for the total energy is -8.55 eV per atom.

The structure belongs to space group Cmc2_1 (No. 36); the cell edges are 3.2203, 13.5974 and 10.2919 Å and the angles 90.00°, 90.00° and 90.00°. Symmetry generates all atoms from Pm at (0.0000, 0.1102, 0.0000), Pm at (0.0000, 0.1296, 0.5830), Al at (0.0000, 0.4841, 0.7701), W at (0.0000, 0.2209, 0.3018), N at (0.0000, 0.0607, 0.3397), N at (0.0000, 0.2821, 0.9324), N at (0.0000, 0.2990, 0.6726), N at (0.0000, 0.3641, 0.2985) and N at (0.0000, 0.4999, 0.0882).

***

6.
The following is a PBE calculation of a relaxed ZnFe3C crystal, from Alexandria via LeMat-Bulk.

Its excess energy over the best structure of this formula in the dataset is 0 meV per atom. The value obtained for the total energy is -7.16 eV per atom. Its formation energy is 0.0157 eV/atom.

The structure belongs to space group Pm-3m (No. 221); the cell edges are 3.7744, 3.7744 and 3.7744 Å and the angles 90.00°, 90.00° and 90.00°. Symmetry generates all atoms from Zn at (0.0000, 0.0000, 0.0000), Fe at (0.0000, 0.5000, 0.5000) and C at (0.5000, 0.5000, 0.5000).

***

7.
The following is a PBE calculation of a relaxed PmSbIO4 crystal, from Alexandria via LeMat-Bulk.

The calculation puts the uncorrected formation energy at -171.7 kJ/mol of atoms. The value obtained for the total energy is -6.10 eV per atom.

The structure belongs to space group C2/m (No. 12); the cell edges are 12.6507, 6.6434 and 7.2200 Å and the angles 90.00°, 104.04° and 90.00°. Symmetry generates all atoms from Pm at (0.2057, 0.0000, 0.3343), Sb at (0.1292, 0.0000, 0.7545), I at (0.0230, 0.5000, 0.1907), O at (0.0235, 0.0000, 0.2928), O at (0.1839, 0.2116, 0.6200) and O at (0.1946, 0.0000, 0.0181).

***

8.
The following is a PBE calculation of a relaxed PmZn2SiNi2 crystal, from Alexandria via LeMat-Bulk.

The calculation puts the uncorrected formation energy at -29.8 kJ/mol of atoms. The value obtained for the total energy is -4.36 eV per atom.

The structure belongs to space group P4/mmm (No. 123); the cell edges are 4.2891, 4.2891 and 5.6425 Å and the angles 90.00°, 90.00° and 90.00°. Symmetry generates all atoms from Pm at (0.0000, 0.0000, 0.0000), Zn at (0.5000, 0.5000, 0.2400), Si at (0.0000, 0.0000, 0.5000) and Ni at (0.0000, 0.5000, 0.5000).

***

9.
The following is a PBE calculation of a relaxed CaPr6Er8 crystal, from Alexandria via LeMat-Bulk.

The value obtained for the total energy is -4.26 eV per atom. Its formation energy is 0.2201 eV/atom.

The structure belongs to space group P-3 (No. 147); the cell edges are 9.9592, 9.9592 and 6.1768 Å and the angles 90.00°, 90.00° and 120.00°. Symmetry generates all atoms from Ca at (0.0000, 0.0000, 0.0000), Pr at (0.1350, 0.6916, 0.9470), Er at (0.0214, 0.3404, 0.5608) and Er at (0.3333, 0.6667, 0.4272).

***

10.
The following is a PBE calculation of a relaxed LaGdOsPd crystal, from Alexandria via LeMat-Bulk.

The value obtained for the total energy is -9.24 eV per atom. Its formation energy is -0.3844 eV/atom.

The structure belongs to space group F-43m (No. 216); the cell edges are 7.0991, 7.0991 and 7.0991 Å and the angles 90.00°, 90.00° and 90.00°. Symmetry generates all atoms from La at (0.0000, 0.0000, 0.0000), Gd at (0.0000, 0.0000, 0.5000), Os at (0.2500, 0.2500, 0.7500) and Pd at (0.2500, 0.2500, 0.2500).

***

11.
The following is a PBE calculation of a relaxed U2TiGe3Ir4 crystal, from Alexandria via LeMat-Bulk.

The value obtained for the total energy is -8.52 eV per atom. Its formation energy is -0.5384 eV/atom.

The structure belongs to space group P-4m2 (No. 115); the cell edges are 4.0641, 4.0641 and 10.9391 Å and the angles 90.00°, 90.00° and 90.00°. Symmetry generates all atoms from U at (0.0000, 0.5000, 0.2430), Ti at (0.0000, 0.0000, 0.5000), Ge at (0.0000, 0.5000, 0.8696), Ge at (0.5000, 0.5000, 0.5000), Ir at (0.0000, 0.0000, 0.0000), Ir at (0.0000, 0.5000, 0.6459) and Ir at (0.5000, 0.5000, 0.0000).

***

12.
The following is a PBE calculation of a relaxed BaBe2Cu crystal, from Alexandria via LeMat-Bulk.

Its excess energy over the best structure of this formula in the dataset is 427 meV per atom. The value obtained for the total energy is -2.84 eV per atom. Its formation energy is 0.5326 eV/atom.

The structure belongs to space group Pmm2 (No. 25); the cell edges are 3.0545, 3.0773 and 7.3929 Å and the angles 90.00°, 90.00° and 90.00°. Symmetry generates all atoms from Ba at (0.0000, 0.0000, 0.0000), Be at (0.0000, 0.0000, 0.5031), Be at (0.5000, 0.5000, 0.6573) and Cu at (0.5000, 0.5000, 0.3574).